Entry 1:
The following is a DFT calculation (PBE-GGA) of an optimized crystal structure of Sr3RhI.

Calculated values
For the final energy, the calculation gives -3.37 eV per atom. Its density of states at the Fermi level is 0.397 states/eV/atom. The calculated density is 4.27 g/cm3. Its symmetry is No. 59.

a b c (Å): 4.2742 10.0299 8.9419
angles (deg): 90.00 90.00 90.00
With the nearest neighbours (Å) after each atom.
Atoms (fractional coordinates):
Sr1 0.2500 0.0760 0.1505  3 Rh 3.17-3.46, 1 Sr 3.49
Sr2 0.2500 0.2500 0.7457  2 Rh 2.96
Sr3 0.2500 0.4240 0.1505  3 Rh 3.17-3.46, 1 Sr 3.49
Sr4 0.7500 0.5760 0.8495  3 Rh 3.17-3.46, 1 Sr 3.49
Sr5 0.7500 0.7500 0.2543  2 Rh 2.96
Sr6 0.7500 0.9240 0.8495  3 Rh 3.17-3.46, 1 Sr 3.49
Rh1 0.2500 0.7500 0.0246  6 Sr 2.96-3.17
Rh2 0.7500 0.2500 0.9754  6 Sr 2.96-3.17
I1 0.2500 0.7500 0.5726  6 Sr 3.56-3.71
I2 0.7500 0.2500 0.4274  6 Sr 3.56-3.71

---

Entry 2:
The following is a DFT calculation (PBE-GGA) of an optimized crystal structure of CePuAlV.

Calculated values
Its formation enthalpy at 0 K is -1 meV per atom. Its density of states at the Fermi level is 1.708 states/eV/atom. The calculated density is 9.64 g/cm3. Its symmetry is No. 216.

a b c (Å): 4.8286 4.8286 4.8286
angles (deg): 60.00 60.00 60.00
With the nearest neighbours (Å) after each atom.
Atoms (fractional coordinates):
Ce1 0.0000 0.0000 0.0000  4 Pu 2.96, 4 V 2.96
Pu1 0.7500 0.7500 0.7500  4 Ce 2.96, 4 Al 2.96
Al1 0.5000 0.5000 0.5000  4 Pu 2.96, 4 V 2.96
V1 0.2500 0.2500 0.2500  4 Ce 2.96, 4 Al 2.96

---

Entry 3:
The following is a DFT calculation (PBE-GGA) of an optimized crystal structure of CsNa4Pb4.

Calculated values
Its formation enthalpy at 0 K is -125 meV per atom. Its density of states at the Fermi level is 0.401 states/eV/atom. The calculated density is 5.72 g/cm3. Its symmetry is No. 139.

a b c (Å): 8.2529 8.2529 8.2529
angles (deg): 95.11 95.11 145.26
With the nearest neighbours (Å) after each atom.
Atoms (fractional coordinates):
Cs1 0.0000 0.0000 0.0000  4 Na 3.65, 8 Pb 3.83
Na1 0.0000 0.3273 0.3273  6 Pb 3.50-3.58, 1 Cs 3.65, 5 Na 3.67-3.85
Na2 0.0000 0.6727 0.6727  6 Pb 3.50-3.58, 1 Cs 3.65, 5 Na 3.67-3.85
Na3 0.3273 0.0000 0.3273  6 Pb 3.50-3.58, 1 Cs 3.65, 5 Na 3.67-3.85
Na4 0.6727 0.0000 0.6727  6 Pb 3.50-3.58, 1 Cs 3.65, 5 Na 3.67-3.85
Pb1 0.3139 0.3139 0.6279  2 Pb 3.18, 2 Na 3.50
Pb2 0.3139 0.6861 0.0000  2 Pb 3.18, 2 Na 3.50
Pb3 0.6861 0.3139 0.0000  2 Pb 3.18, 2 Na 3.50
Pb4 0.6861 0.6861 0.3721  2 Pb 3.18, 2 Na 3.50

---

Entry 4:
The following is a DFT calculation (PBE-GGA) of an optimized crystal structure of Na2TlH6Rh.

Calculated values
For the final energy, the calculation gives -3.39 eV per atom. The calculated density is 3.81 g/cm3. Its symmetry is No. 164.

a b c (Å): 5.1903 5.1903 6.7196
angles (deg): 90.00 90.00 120.00
With the nearest neighbours (Å) after each atom.
Atoms (fractional coordinates):
Na1 0.3333 0.6667 0.0911  3 H 2.32
Na2 0.6667 0.3333 0.9089  3 H 2.32
Tl1 0.0000 0.0000 0.5000  6 H 2.70
H1 0.1487 0.2975 0.8495  1 Rh 1.68
H2 0.1487 0.8513 0.8495  1 Rh 1.68
H3 0.2975 0.1487 0.1505  1 Rh 1.68
H4 0.7025 0.8513 0.8495  1 Rh 1.68
H5 0.8513 0.1487 0.1505  1 Rh 1.68
H6 0.8513 0.7025 0.1505  1 Rh 1.68
Rh1 0.0000 0.0000 0.0000  6 H 1.68

---

Entry 5:
The following is a DFT calculation (PBE-GGA) of an optimized crystal structure of Zn3SnPd.

Calculated values
Its formation enthalpy at 0 K is 110 meV per atom. Its density of states at the Fermi level is 0.486 states/eV/atom. The calculated density is 6.30 g/cm3. Its symmetry is No. 221.

a b c (Å): 4.8067 4.8067 4.8067
angles (deg): 90.00 90.00 90.00
With the nearest neighbours (Å) after each atom.
Atoms (fractional coordinates):
Zn1 0.0000 0.0000 0.5000  2 Pd 2.40
Zn2 0.0000 0.5000 0.0000  2 Pd 2.40
Zn3 0.5000 0.0000 0.0000  2 Pd 2.40
Sn1 0.5000 0.5000 0.5000  12 Zn 3.40
Pd1 0.0000 0.0000 0.0000  6 Zn 2.40

---

Entry 6:
The following is a DFT calculation (PBE-GGA) of an optimized crystal structure of Ho2Ga4Ni3Pt.

Calculated values
Its formation enthalpy at 0 K is -676 meV per atom. Its density of states at the Fermi level is 0.460 states/eV/atom. The calculated density is 9.72 g/cm3. Its symmetry is No. 115.

a b c (Å): 3.9791 3.9791 10.5742
angles (deg): 90.00 90.00 90.00
With the nearest neighbours (Å) after each atom.
Atoms (fractional coordinates):
Ho1 0.0000 0.5000 0.2382  4 Ni 3.02, 8 Ga 3.09-3.21
Ho2 0.5000 0.0000 0.7618  4 Ni 3.02, 8 Ga 3.09-3.21
Ga1 0.0000 0.0000 0.0000  4 Ni 2.45
Ga2 0.0000 0.5000 0.6417  3 Ni 2.36-2.49, 2 Pt 2.49
Ga3 0.5000 0.0000 0.3583  3 Ni 2.36-2.49, 2 Pt 2.49
Ga4 0.5000 0.5000 0.0000  4 Ni 2.45
Ni1 0.0000 0.5000 0.8648  5 Ga 2.36-2.45
Ni2 0.5000 0.0000 0.1352  5 Ga 2.36-2.45
Ni3 0.5000 0.5000 0.5000  4 Ga 2.49
Pt1 0.0000 0.0000 0.5000  4 Ga 2.49

---

Entry 7:
The following is a DFT calculation (PBE-GGA) of an optimized crystal structure of Y2ErMgHg4.

Calculated values
Its formation enthalpy at 0 K is -479 meV per atom. Its density of states at the Fermi level is 0.380 states/eV/atom. The calculated density is 9.93 g/cm3. Its symmetry is No. 166.

a b c (Å): 9.0316 9.0316 9.0316
angles (deg): 33.14 33.14 33.14
With the nearest neighbours (Å) after each atom.
Atoms (fractional coordinates):
Y1 0.2455 0.2455 0.2455  8 Hg 3.10-3.26
Y2 0.7545 0.7545 0.7545  8 Hg 3.10-3.26
Er1 0.0000 0.0000 0.0000  8 Hg 3.14-3.18
Mg1 0.5000 0.5000 0.5000  8 Hg 3.17-3.25
Hg1 0.1243 0.1243 0.1243  4 Y 3.10-3.12, 3 Mg 3.17, 1 Er 3.18
Hg2 0.3728 0.3728 0.3728  3 Er 3.14, 4 Y 3.22-3.26, 1 Mg 3.25
Hg3 0.6272 0.6272 0.6272  3 Er 3.14, 4 Y 3.22-3.26, 1 Mg 3.25
Hg4 0.8757 0.8757 0.8757  4 Y 3.10-3.12, 3 Mg 3.17, 1 Er 3.18

---

Entry 8:
The following is a DFT calculation (PBE-GGA) of an optimized crystal structure of Nd4HoTm8.

Calculated values
Its formation enthalpy at 0 K is 526 meV per atom. Its density of states at the Fermi level is 1.654 states/eV/atom. The calculated density is 7.46 g/cm3. Its symmetry is No. 166.

a b c (Å): 7.7516 7.7516 7.7516
angles (deg): 90.06 90.06 90.06
With the nearest neighbours (Å) after each atom.
Atoms (fractional coordinates):
Nd1 0.0000 0.0000 0.0000  8 Tm 3.23
Nd2 0.0000 0.5000 0.5000  8 Tm 3.40
Nd3 0.5000 0.0000 0.5000  8 Tm 3.40
Nd4 0.5000 0.5000 0.0000  8 Tm 3.40
Ho1 0.5000 0.5000 0.5000  8 Tm 3.48, 6 Nd 3.88
Tm1 0.2406 0.2406 0.2406  4 Nd 3.23-3.40, 1 Ho 3.48
Tm2 0.2406 0.2406 0.7590  4 Nd 3.23-3.40, 1 Ho 3.48
Tm3 0.2406 0.7590 0.2406  4 Nd 3.23-3.40, 1 Ho 3.48
Tm4 0.2410 0.7594 0.7594  4 Nd 3.23-3.40, 1 Ho 3.48
Tm5 0.7590 0.2406 0.2406  4 Nd 3.23-3.40, 1 Ho 3.48
Tm6 0.7594 0.2410 0.7594  4 Nd 3.23-3.40, 1 Ho 3.48
Tm7 0.7594 0.7594 0.2410  4 Nd 3.23-3.40, 1 Ho 3.48
Tm8 0.7594 0.7594 0.7594  4 Nd 3.23-3.40, 1 Ho 3.48

---

Entry 9:
The following is a DFT calculation (PBE-GGA) of an optimized crystal structure of K2BaRe.

Calculated values
Its formation enthalpy at 0 K is 1116 meV per atom. Its density of states at the Fermi level is 0.717 states/eV/atom. The calculated density is 3.63 g/cm3. Its symmetry is No. 12.

a b c (Å): 10.2873 10.2873 5.3307
angles (deg): 104.93 104.93 19.75
With the nearest neighbours (Å) after each atom.
Atoms (fractional coordinates):
K1 0.1589 0.1589 0.1585  2 K 3.53, 2 Re 3.57
K2 0.8411 0.8411 0.8415  2 K 3.53, 2 Re 3.57
Ba1 0.0000 0.0000 0.5000  4 Re 3.20, 2 Ba 3.53
Re1 0.5000 0.5000 0.0000  4 Ba 3.20, 2 Re 3.53, 4 K 3.57

---

Entry 10:
The following is a DFT calculation (PBE-GGA) of an optimized crystal structure of SmSiPt4.

Calculated values
For the final energy, the calculation gives -6.59 eV per atom. Its density of states at the Fermi level is 0.222 states/eV/atom. The calculated density is 15.17 g/cm3. Its symmetry is No. 51.

a b c (Å): 7.7149 3.9048 6.9677
angles (deg): 90.00 90.00 90.00
With the nearest neighbours (Å) after each atom.
Atoms (fractional coordinates):
Sm1 0.2500 0.0000 0.1285  1 Si 2.93, 8 Pt 2.98-3.23
Sm2 0.7500 0.0000 0.8715  1 Si 2.93, 8 Pt 2.98-3.23
Si1 0.2500 0.0000 0.7075  8 Pt 2.41-2.65
Si2 0.7500 0.0000 0.2925  8 Pt 2.41-2.65
Pt1 0.0000 0.0000 0.5000  2 Si 2.41
Pt2 0.0595 0.5000 0.8075  2 Si 2.54, 1 Pt 2.84
Pt3 0.2500 0.5000 0.4507  2 Si 2.65, 6 Pt 2.77-2.89
Pt4 0.4405 0.5000 0.8075  2 Si 2.54, 1 Pt 2.84
Pt5 0.5000 0.0000 0.5000  2 Si 2.41
Pt6 0.5595 0.5000 0.1925  2 Si 2.54, 1 Pt 2.84
Pt7 0.7500 0.5000 0.5493  2 Si 2.65, 6 Pt 2.77-2.89
Pt8 0.9405 0.5000 0.1925  2 Si 2.54, 1 Pt 2.84

---

Entry 11:
The following is a DFT calculation (PBE-GGA) of an optimized crystal structure of NiSb2TeOs.

Calculated values
For the final energy, the calculation gives -4.62 eV per atom. Its density of states at the Fermi level is 1.063 states/eV/atom. The calculated density is 7.38 g/cm3. Its symmetry is No. 123.

a b c (Å): 4.9973 4.9973 5.5877
angles (deg): 90.00 90.00 90.00
With the nearest neighbours (Å) after each atom.
Atoms (fractional coordinates):
Ni1 0.0000 0.0000 0.0000  4 Te 3.53, 8 Sb 3.75
Sb1 0.0000 0.5000 0.5000  2 Os 2.50
Sb2 0.5000 0.0000 0.5000  2 Os 2.50
Te1 0.5000 0.5000 0.0000  2 Os 2.79
Os1 0.5000 0.5000 0.5000  4 Sb 2.50, 2 Te 2.79

---

Entry 12:
The following is a DFT calculation (PBE-GGA) of an optimized crystal structure of NbRhW.

Calculated values
Its formation enthalpy at 0 K is 66 meV per atom. Its density of states at the Fermi level is 1.233 states/eV/atom. The calculated density is 12.80 g/cm3. Its symmetry is No. 107.

a b c (Å): 5.1678 5.1678 5.1678
angles (deg): 143.19 143.19 53.04
With the nearest neighbours (Å) after each atom.
Atoms (fractional coordinates):
Nb1 0.0000 0.0000 0.0000  4 W 2.76, 5 Rh 2.80-3.05
Rh1 0.3294 0.3294 0.0000  5 W 2.77-3.09, 5 Nb 2.80-3.05
W1 0.6631 0.6631 0.0000  4 Nb 2.76, 5 Rh 2.77-3.09